[1]
This record from Alexandria describes a geometry-optimized Ga2BiS2 structure. The functional is PBE.

a b c (Å): 7.9526 7.9526 3.7109
angles (deg): 90.00 90.00 90.00
Atoms (fractional coordinates):
S1 0.2093 0.2907 0.0000
S2 0.7907 0.7093 0.0000
Ga1 0.3754 0.1246 0.5000
Ga2 0.6246 0.8754 0.5000
Bi1 0.5000 0.5000 0.0000
Bi2 0.0000 0.0000 0.0000
S3 0.7093 0.2093 0.0000
Ga3 0.8754 0.3754 0.5000
Ga4 0.1246 0.6246 0.5000
S4 0.2907 0.7907 0.0000

Calculated values
Energy above the lowest structure with this stoichiometry, meV/atom: 0.0
Density of states at the Fermi level, states/eV/cell: 3.83
Raw formation energy, eV/atom: -0.087

=====

[2]
This record from Alexandria describes a geometry-optimized Ga2BiS2 structure. The functional is PBE.

a b c (Å): 4.4251 4.4251 6.7503
angles (deg): 70.87 70.87 90.00
Atoms (fractional coordinates):
S1 0.6515 0.6515 0.6970
Bi1 0.0000 0.0000 0.0000
Ga1 0.2500 0.7500 0.5000
Ga2 0.7500 0.2500 0.5000
S2 0.3485 0.3485 0.3030

Calculated values
Energy above the lowest structure with this stoichiometry, meV/atom: 181.8
Density of states at the Fermi level, states/eV/cell: 3.78
Raw formation energy, eV/atom: 0.095

=====

[3]
This record from Alexandria describes a geometry-optimized GaBiS3 structure. The functional is PBE.

a b c (Å): 5.2533 5.2533 5.2533
angles (deg): 90.00 90.00 90.00
Atoms (fractional coordinates):
S1 0.0000 0.5000 0.0000
Ga1 0.5000 0.5000 0.5000
Bi1 0.0000 0.0000 0.0000
S2 0.5000 0.0000 0.0000
S3 0.0000 0.0000 0.5000

Calculated values
Energy above the lowest structure with this stoichiometry, meV/atom: 884.2
Density of states at the Fermi level, states/eV/cell: 6.29
Raw formation energy, eV/atom: 0.379

=====

[4]
This record from Alexandria describes a geometry-optimized Ga3BiS structure. The functional is PBE.

a b c (Å): 4.9506 4.9506 4.9506
angles (deg): 90.00 90.00 90.00
Atoms (fractional coordinates):
Ga1 0.5000 0.0000 0.0000
Ga2 0.0000 0.5000 0.0000
Bi1 0.5000 0.5000 0.5000
Ga3 0.0000 0.0000 0.5000
S1 0.0000 0.0000 0.0000

Calculated values
Energy above the lowest structure with this stoichiometry, meV/atom: 0.0
Density of states at the Fermi level, states/eV/cell: 2.29
Raw formation energy, eV/atom: 0.176

=====

[5]
This record from Alexandria describes a geometry-optimized Ga2BiSeS structure. The functional is PBE.

a b c (Å): 5.6926 5.3473 5.6926
angles (deg): 90.00 90.00 90.00
Atoms (fractional coordinates):
S1 0.5000 0.5000 0.5000
Ga1 0.5000 0.0000 0.0000
Se1 0.0000 0.5000 0.0000
Bi1 0.0000 0.0000 0.0000
Ga2 0.0000 0.0000 0.5000

Calculated values
Density of states at the Fermi level, states/eV/cell: 5.78
Raw formation energy, eV/atom: 0.691

=====

[6]
This record from Alexandria describes a geometry-optimized Sr2GaBiS5 structure. The functional is PBE.

a b c (Å): 3.9915 9.2049 12.5660
angles (deg): 90.00 90.00 102.52
Atoms (fractional coordinates):
S1 0.3524 0.7047 0.0076
S2 0.6476 0.2953 0.5076
S3 0.0325 0.0649 0.0252
Sr1 0.8875 0.7749 0.1824
S4 0.4938 0.9877 0.7676
Sr2 0.1125 0.2251 0.6824
S5 0.9675 0.9351 0.5252
S6 0.2867 0.5734 0.6855
S7 0.5062 0.0123 0.2676
Bi1 0.7939 0.5878 0.5326
Sr3 0.1246 0.2493 0.3283
Ga1 0.4471 0.8942 0.4255
Bi2 0.2061 0.4122 0.0326
Sr4 0.8754 0.7507 0.8283
S8 0.7133 0.4266 0.1855
S9 0.3235 0.6471 0.3693
S10 0.6765 0.3529 0.8693
Ga2 0.5529 0.1058 0.9255

Calculated values
Density of states at the Fermi level, states/eV/cell: 0.00
Raw formation energy, eV/atom: -1.267

=====

[7]
This record from Alexandria describes a geometry-optimized SrGaBiS4 structure. The functional is PBE.

a b c (Å): 6.7218 6.8824 8.1130
angles (deg): 90.00 107.61 90.00
Atoms (fractional coordinates):
S1 0.9909 0.9954 0.7422
Sr1 0.7467 0.7500 0.9418
S2 0.0091 0.4954 0.2578
Ga1 0.7630 0.2500 0.6881
Bi1 0.7733 0.7500 0.4581
Bi2 0.2267 0.2500 0.5419
S3 0.4486 0.7500 0.1411
Sr2 0.2533 0.2500 0.0582
S4 0.0091 0.0046 0.2578
S5 0.9909 0.5046 0.7422
S6 0.5514 0.2500 0.8589
S7 0.5489 0.2500 0.4100
S8 0.4511 0.7500 0.5900
Ga2 0.2370 0.7500 0.3119

Calculated values
Density of states at the Fermi level, states/eV/cell: 0.00
Raw formation energy, eV/atom: -0.946

=====

[8]
This record from Alexandria describes a geometry-optimized TaGaBiS2 structure. The functional is PBE.

a b c (Å): 5.3402 5.5038 5.3402
angles (deg): 90.00 90.00 90.00
Site moments in Bohr magnetons follow the coordinates.
Atoms (fractional coordinates):
Ta1 0.0000 0.5000 0.0000  1.81
S1 0.0000 0.0000 0.5000  0.00
Bi1 0.0000 0.0000 0.0000  -0.02
S2 0.5000 0.0000 0.0000  -0.04
Ga1 0.5000 0.5000 0.5000  0.07

Calculated values
Density of states at the Fermi level, states/eV/cell: 4.05
Raw formation energy, eV/atom: 1.289